Compound: La2BeP
Source: the Alexandria database
Functional: PBEsol
Structure: optimized geometry

a = 3.5238 Å, b = 3.5238 Å, c = 8.3586 Å
α = 90.00°, β = 90.00°, γ = 113.37°
Fractional coordinates of all 4 atoms:
La 0.0000 0.0000 0.0000
La 0.5000 0.5000 0.3812
Be 0.0000 0.0000 0.6411
P 0.5000 0.5000 0.7465

Values from the calculation:
Energy relative to the elements, eV per atom: -0.205
V, Å³ per cell: 95.28
Energy above the most stable polymorph in this dataset, eV per atom: 0.0000
Total magnetization, μB/cell: 0.0

***

Compound: ZrW2Cl
Source: the Alexandria database
Functional: PBEsol
Structure: optimized geometry

a = 3.1355 Å, b = 3.1355 Å, c = 7.6927 Å
α = 90.00°, β = 90.00°, γ = 90.00°
Fractional coordinates of all 4 atoms:
Zr 0.0000 0.0000 0.0000
W 0.0000 0.0000 0.5836
W 0.5000 0.5000 0.7577
Cl 0.5000 0.5000 0.2357

Values from the calculation:
V, Å³ per cell: 75.63
Energy above the most stable polymorph in this dataset, eV per atom: 0.0000
Formation energy from raw total energies, meV per atom: 75
Total magnetization, μB/cell: 0.0